A relaxed MgScRh4 crystal, computed with PBE.

Results
Calculated density (g cm⁻³): 8.61
Energy of formation from the pure elements (meV per atom): -360
Space-group type: C2/m

Cell lengths 3.813, 4.863, 6.324 Å; angles 105.13, 72.45, 66.92 degrees
Fractional coordinates of all 6 atoms:
Mg: 0.500 0.500 0.500
Sc: 0.000 0.000 0.000
Rh: 0.839 0.495 0.828
Rh: 0.328 0.008 0.336
Rh: 0.161 0.505 0.172
Rh: 0.672 0.992 0.664